A geometry-optimized Ca2FeO structure. Source: the Alexandria database, functional PBE with a Hubbard U.

Cell: 6.822 6.822 6.604 Å, 58.90 58.90 90.00°
Element x y z (fractional)
1 Ca 0.875 0.750 0.750
2 Ca 0.500 0.125 0.250
3 Ca 0.250 0.625 0.250
4 Ca 0.375 0.500 0.750
5 Fe 0.750 0.250 0.500
6 Fe 0.000 0.000 0.000
7 O 0.250 0.750 0.500
8 O 0.500 0.500 0.000

Total magnetic moment = 7.92 μB/cell
VASP energy = -4.559 eV/atom